# 1
Entry from Alexandria via LeMat-Bulk: an optimized crystal structure of CePmRh3 (GGA-PBE).

Properties
E = -7.22 eV/atom
DOS(E_F) = 1.263 states/eV per atom

```
CePmRh3
1.0
6.605 -3.881 0.000
6.605 3.881 0.000
0.000 0.000 8.006
Ce Pm Rh
4 4 12
direct
0.001 0.500 0.250
0.500 0.001 0.750
0.500 0.999 0.250
0.999 0.500 0.750
0.001 0.999 0.250
0.499 0.501 0.750
0.501 0.499 0.250
0.999 0.001 0.750
0.091 0.699 0.501
0.091 0.699 0.999
0.286 0.286 0.000
0.286 0.286 0.500
0.301 0.909 0.501
0.301 0.909 0.999
0.699 0.091 0.001
0.699 0.091 0.499
0.714 0.714 0.000
0.714 0.714 0.500
0.909 0.301 0.001
0.909 0.301 0.499
```

***

# 2
Entry from Alexandria via LeMat-Bulk: an optimized crystal structure of Ce3Pm2Rh2 (GGA-PBE).

Properties
E = -6.44 eV/atom
DOS(E_F) = 2.041 states/eV per atom

```
Ce3Pm2Rh2
1.0
11.696 0.000 0.000
0.000 3.821 0.000
-3.176 0.000 8.254
Ce Pm Rh
6 4 4
direct
0.000 0.000 0.000
0.121 0.000 0.440
0.379 0.500 0.560
0.500 0.500 0.000
0.621 0.500 0.440
0.879 0.000 0.560
0.161 0.500 0.801
0.339 0.000 0.199
0.661 0.000 0.801
0.839 0.500 0.199
0.131 0.500 0.215
0.369 0.000 0.785
0.631 0.000 0.215
0.869 0.500 0.785
```

***

# 3
Entry from Alexandria via LeMat-Bulk: an optimized crystal structure of Ce5PmRh4 (GGA-PBE).

Properties
E = -6.89 eV/atom
DOS(E_F) = 2.602 states/eV per atom

```
Ce5PmRh4
1.0
8.606 -2.099 0.000
8.606 2.099 0.000
-2.503 0.000 7.213
Ce Pm Rh
5 1 4
direct
0.000 0.000 0.000
0.318 0.318 0.115
0.338 0.338 0.636
0.662 0.662 0.364
0.682 0.682 0.885
0.000 0.000 0.500
0.184 0.184 0.640
0.493 0.493 0.219
0.507 0.507 0.781
0.816 0.816 0.360
```

***

# 4
Entry from Alexandria via LeMat-Bulk: an optimized crystal structure of Ce2Pm2Rh3 (GGA-PBE).

Properties
E = -6.86 eV/atom
DOS(E_F) = 1.544 states/eV per atom
polymorph energy (0 for the lowest one) = 0 meV per atom

```
Ce2Pm2Rh3
1.0
-4.377 4.377 4.377
4.377 -4.377 4.377
4.377 4.377 -4.377
Ce Pm Rh
4 4 6
direct
0.000 0.613 0.500
0.500 0.000 0.613
0.613 0.500 0.000
0.887 0.887 0.887
0.000 0.120 0.500
0.120 0.500 0.000
0.380 0.380 0.380
0.500 0.000 0.120
0.127 0.877 0.250
0.250 0.127 0.877
0.373 0.623 0.750
0.623 0.750 0.373
0.750 0.373 0.623
0.877 0.250 0.127
```

***

# 5
Entry from Alexandria via LeMat-Bulk: an optimized crystal structure of CePm2Rh2 (GGA-PBE).

Properties
E = -6.56 eV/atom
DOS(E_F) = 1.061 states/eV per atom
polymorph energy (0 for the lowest one) = 113 meV per atom

```
CePm2Rh2
1.0
1.989 -10.263 0.000
1.989 10.263 0.000
0.000 0.000 6.259
Ce Pm Rh
2 4 4
direct
0.123 0.877 0.500
0.877 0.123 0.000
0.310 0.690 0.458
0.481 0.519 0.664
0.519 0.481 0.164
0.690 0.310 0.958
0.076 0.924 0.879
0.296 0.704 0.952
0.704 0.296 0.452
0.924 0.076 0.379
```

***

# 6
Entry from Alexandria via LeMat-Bulk: an optimized crystal structure of Ce4PmRh4 (GGA-PBE).

Properties
E = -7.05 eV/atom
DOS(E_F) = 1.815 states/eV per atom

```
Ce4PmRh4
1.0
-4.513 4.513 2.809
4.513 -4.513 2.809
4.513 4.513 -2.809
Ce Pm Rh
4 1 4
direct
0.102 0.306 0.408
0.306 0.898 0.204
0.694 0.102 0.796
0.898 0.694 0.592
0.500 0.500 0.000
0.196 0.610 0.807
0.390 0.196 0.586
0.610 0.804 0.414
0.804 0.390 0.193
```